# 1
Ba3AlSn2: relaxed, PBE.

Cell lengths 13.889, 4.818, 14.250 Å; angles 90.00, 90.00, 90.00 degrees
Fractional positions:
1 Ba 0.070 0.250 0.118
2 Ba 0.119 0.750 0.556
3 Ba 0.195 0.250 0.797
4 Ba 0.305 0.750 0.297
5 Ba 0.381 0.250 0.056
6 Ba 0.430 0.750 0.618
7 Ba 0.570 0.250 0.382
8 Ba 0.619 0.750 0.944
9 Ba 0.695 0.250 0.703
10 Ba 0.805 0.750 0.203
11 Ba 0.881 0.250 0.444
12 Ba 0.930 0.750 0.882
13 Al 0.141 0.250 0.361
14 Al 0.359 0.750 0.861
15 Al 0.641 0.250 0.139
16 Al 0.859 0.750 0.639
17 Sn 0.040 0.750 0.317
18 Sn 0.199 0.750 0.980
19 Sn 0.301 0.250 0.480
20 Sn 0.460 0.250 0.817
21 Sn 0.540 0.750 0.183
22 Sn 0.699 0.750 0.520
23 Sn 0.801 0.250 0.020
24 Sn 0.960 0.250 0.683

## Properties
Theoretical density (Mg/m³): 4.71
Formation energy from the elements (eV/atom): -0.523
E (eV/atom): -3.44
Space group: Pnma, No. 62

---

# 2
BaAlSn2: relaxed, PBE.

Cell lengths 9.924, 9.924, 9.924 Å; angles 146.68, 146.68, 47.84 degrees
Fractional positions:
1 Ba 0.000 0.000 0.000
2 Ba 0.750 0.250 0.500
3 Al 0.250 0.750 0.500
4 Al 0.500 0.500 0.000
5 Sn 0.265 0.625 0.140
6 Sn 0.375 0.515 0.640
7 Sn 0.485 0.125 0.860
8 Sn 0.875 0.735 0.360

## Properties
Theoretical density (Mg/m³): 4.54
Formation energy from the elements (eV/atom): -0.181
E (eV/atom): -3.60
Space group: I-42d, No. 122

---

# 3
Ba4AlSn3: relaxed, PBE.

Cell lengths 4.698, 5.304, 12.829 Å; angles 90.00, 90.00, 90.00 degrees
Fractional positions:
1 Ba 0.000 0.000 0.000
2 Ba 0.000 0.500 0.499
3 Ba 0.500 0.000 0.275
4 Ba 0.500 0.500 0.774
5 Al 0.500 0.000 0.574
6 Sn 0.000 0.000 0.703
7 Sn 0.000 0.500 0.208
8 Sn 0.500 0.500 0.065

## Properties
Theoretical density (Mg/m³): 4.84
Formation energy from the elements (eV/atom): -0.571
E (eV/atom): -3.50
Space group: Pmm2, No. 25

---

# 4
BaAlSn2: relaxed, PBE.

Cell lengths 4.251, 6.581, 9.556 Å; angles 100.78, 102.82, 90.08 degrees
Fractional positions:
1 Ba 0.135 0.070 0.272
2 Ba 0.865 0.930 0.728
3 Al 0.375 0.440 0.748
4 Al 0.625 0.560 0.252
5 Sn 0.224 0.648 0.451
6 Sn 0.498 0.746 0.999
7 Sn 0.502 0.254 0.001
8 Sn 0.776 0.352 0.549

## Properties
Theoretical density (Mg/m³): 5.22
Formation energy from the elements (eV/atom): -0.303
E (eV/atom): -3.72
Space group: P-1, No. 2

---

# 5
BaAl2Sn: relaxed, PBE.

Cell lengths 10.515, 10.515, 10.515 Å; angles 151.34, 151.34, 40.98 degrees
Fractional positions:
1 Ba 0.375 0.625 0.750
2 Ba 0.625 0.375 0.250
3 Al 0.000 0.000 0.000
4 Al 0.000 0.000 0.500
5 Al 0.000 0.500 0.000
6 Al 0.500 0.000 0.500
7 Sn 0.125 0.875 0.250
8 Sn 0.875 0.125 0.750

## Properties
Theoretical density (Mg/m³): 3.86
Formation energy from the elements (eV/atom): -0.103
E (eV/atom): -3.46
Space group: I4_1/amd, No. 141

---

# 6
BaAl2Sn2: relaxed, PBE.

Cell lengths 8.526, 8.526, 3.681 Å; angles 90.00, 90.00, 90.00 degrees
Fractional positions:
1 Ba 0.000 0.000 0.000
2 Ba 0.500 0.500 0.000
3 Al 0.118 0.382 0.000
4 Al 0.382 0.882 0.000
5 Al 0.618 0.118 0.000
6 Al 0.882 0.618 0.000
7 Sn 0.160 0.660 0.500
8 Sn 0.340 0.160 0.500
9 Sn 0.660 0.840 0.500
10 Sn 0.840 0.340 0.500

## Properties
Theoretical density (Mg/m³): 5.32
Formation energy from the elements (eV/atom): -0.147
E (eV/atom): -3.63
Space group: P4/mbm, No. 127

---

# 7
BaAlSn3: relaxed, PBE.

Cell lengths 6.199, 6.199, 6.199 Å; angles 90.00, 90.00, 90.00 degrees
Fractional positions:
1 Ba 0.000 0.000 0.000
2 Al 0.500 0.500 0.500
3 Sn 0.000 0.000 0.500
4 Sn 0.000 0.500 0.000
5 Sn 0.500 0.000 0.000

## Properties
Theoretical density (Mg/m³): 3.63
Formation energy from the elements (eV/atom): 1.114
E (eV/atom): -2.42
Space group: Pm-3m, No. 221

---

# 8
Ba2AlSn2: relaxed, PBE.

Cell lengths 8.899, 8.899, 8.899 Å; angles 130.81, 69.82, 133.74 degrees
Fractional positions:
1 Ba 0.139 0.199 0.338
2 Ba 0.361 0.699 0.061
3 Ba 0.639 0.301 0.939
4 Ba 0.861 0.801 0.662
5 Al 0.250 0.750 0.500
6 Al 0.750 0.250 0.500
7 Sn 0.109 0.705 0.814
8 Sn 0.391 0.205 0.596
9 Sn 0.609 0.795 0.404
10 Sn 0.891 0.295 0.186

## Properties
Theoretical density (Mg/m³): 4.74
Relative energy among the computed polymorphs (eV per atom): 0.000
Formation energy from the elements (eV/atom): -0.508
E (eV/atom): -3.63
Space group: Ibam, No. 72

---

# 9
BaAl3Sn3: relaxed, PBE.

Cell lengths 9.341, 9.341, 4.909 Å; angles 90.00, 90.00, 120.00 degrees
Fractional positions:
1 Ba 0.333 0.667 0.250
2 Ba 0.667 0.333 0.750
3 Al 0.041 0.844 0.250
4 Al 0.156 0.197 0.250
5 Al 0.197 0.041 0.750
6 Al 0.803 0.959 0.250
7 Al 0.844 0.803 0.750
8 Al 0.959 0.156 0.750
9 Sn 0.074 0.681 0.750
10 Sn 0.319 0.393 0.750
11 Sn 0.393 0.074 0.250
12 Sn 0.607 0.926 0.750
13 Sn 0.681 0.607 0.250
14 Sn 0.926 0.319 0.250

## Properties
Theoretical density (Mg/m³): 5.14
Formation energy from the elements (eV/atom): -0.063
E (eV/atom): -3.66
Space group: P6_3/m, No. 176

---

# 10
Ba2AlSn3: relaxed, PBE.

Cell lengths 7.178, 7.178, 8.166 Å; angles 124.50, 124.50, 38.26 degrees
Fractional positions:
1 Ba 0.000 0.000 0.000
2 Ba 0.507 0.507 0.498
3 Al 0.712 0.712 0.377
4 Sn 0.206 0.206 0.869
5 Sn 0.286 0.286 0.602
6 Sn 0.793 0.793 0.137

## Properties
Theoretical density (Mg/m³): 5.24
Relative energy among the computed polymorphs (eV per atom): 0.000
Formation energy from the elements (eV/atom): -0.498
E (eV/atom): -3.76
Space group: Cm, No. 8

---

# 11
Ba5Al5Sn: relaxed, PBE.

Cell lengths 6.104, 6.104, 11.194 Å; angles 90.00, 90.00, 120.00 degrees
Fractional positions:
1 Ba 0.000 0.000 0.000
2 Ba 0.333 0.667 0.200
3 Ba 0.333 0.667 0.800
4 Ba 0.667 0.333 0.329
5 Ba 0.667 0.333 0.671
6 Al 0.000 0.000 0.324
7 Al 0.000 0.000 0.676
8 Al 0.179 0.358 0.500
9 Al 0.179 0.821 0.500
10 Al 0.642 0.821 0.500
11 Sn 0.667 0.333 0.000

## Properties
Theoretical density (Mg/m³): 4.32
Formation energy from the elements (eV/atom): -0.351
E (eV/atom): -3.29
Space group: P-6m2, No. 187

---

# 12
Ba2AlSn2: relaxed, PBE.

Cell lengths 6.971, 6.971, 12.611 Å; angles 108.44, 108.44, 39.10 degrees
Fractional positions:
1 Ba 0.090 0.090 0.405
2 Ba 0.306 0.306 0.862
3 Ba 0.694 0.694 0.138
4 Ba 0.910 0.910 0.595
5 Al 0.415 0.415 0.180
6 Al 0.585 0.585 0.820
7 Sn 0.035 0.035 0.902
8 Sn 0.352 0.352 0.359
9 Sn 0.648 0.648 0.641
10 Sn 0.965 0.965 0.098

## Properties
Theoretical density (Mg/m³): 4.92
Relative energy among the computed polymorphs (eV per atom): 0.005
Formation energy from the elements (eV/atom): -0.504
E (eV/atom): -3.62
Space group: C2/m, No. 12

---

# 13
Ba3AlSn3: relaxed, PBE.

Cell lengths 6.953, 6.953, 16.326 Å; angles 108.69, 108.69, 43.24 degrees
Fractional positions:
1 Ba 0.021 0.021 0.388
2 Ba 0.103 0.103 0.921
3 Ba 0.237 0.237 0.232
4 Ba 0.763 0.763 0.768
5 Ba 0.897 0.897 0.079
6 Ba 0.979 0.979 0.612
7 Al 0.277 0.277 0.607
8 Al 0.723 0.723 0.393
9 Sn 0.331 0.331 0.453
10 Sn 0.395 0.395 0.923
11 Sn 0.467 0.467 0.765
12 Sn 0.533 0.533 0.235
13 Sn 0.605 0.605 0.077
14 Sn 0.669 0.669 0.547

## Properties
Theoretical density (Mg/m³): 5.20
Relative energy among the computed polymorphs (eV per atom): 0.000
Formation energy from the elements (eV/atom): -0.584
E (eV/atom): -3.66
Space group: C2/m, No. 12

---

# 14
BaAlSn3: relaxed, PBE.

Cell lengths 5.450, 5.450, 5.450 Å; angles 90.00, 90.00, 90.00 degrees
Fractional positions:
1 Ba 0.000 0.000 0.000
2 Al 0.500 0.500 0.500
3 Sn 0.000 0.500 0.500
4 Sn 0.500 0.000 0.500
5 Sn 0.500 0.500 0.000

## Properties
Theoretical density (Mg/m³): 5.34
Formation energy from the elements (eV/atom): -0.091
E (eV/atom): -3.63
Space group: Pm-3m, No. 221

---

# 15
Ba2SrAlSn2: relaxed, PBE.

Cell lengths 9.331, 9.331, 9.331 Å; angles 125.53, 74.40, 133.46 degrees
Fractional positions:
1 Ba 0.175 0.169 0.345
2 Ba 0.325 0.669 0.994
3 Ba 0.675 0.331 0.006
4 Ba 0.825 0.831 0.655
5 Sr 0.250 0.750 0.500
6 Sr 0.750 0.250 0.500
7 Al 0.250 0.250 0.000
8 Al 0.750 0.750 0.000
9 Sn 0.093 0.791 0.884
10 Sn 0.407 0.291 0.698
11 Sn 0.593 0.709 0.302
12 Sn 0.907 0.209 0.116

## Properties
Theoretical density (Mg/m³): 4.45
Formation energy from the elements (eV/atom): -0.475
E (eV/atom): -3.35
Space group: Ibam, No. 72

---

# 16
BaAlTl2Sn: relaxed, PBE.

Cell lengths 5.756, 5.756, 6.668 Å; angles 90.00, 90.00, 90.00 degrees
Fractional positions:
1 Ba 0.000 0.000 0.000
2 Al 0.500 0.500 0.000
3 Tl 0.000 0.500 0.500
4 Tl 0.500 0.000 0.500
5 Sn 0.000 0.000 0.500

## Properties
Theoretical density (Mg/m³): 5.20
Formation energy from the elements (eV/atom): 0.384
E (eV/atom): -2.50
Space group: P4/mmm, No. 123

---

# 17
Ba2Al4Zn3Sn: relaxed, PBE.

Cell lengths 4.563, 4.563, 11.374 Å; angles 90.00, 90.00, 90.00 degrees
Fractional positions:
1 Ba 0.000 0.500 0.246
2 Ba 0.500 0.000 0.754
3 Al 0.000 0.000 0.000
4 Al 0.000 0.500 0.642
5 Al 0.500 0.000 0.358
6 Al 0.500 0.500 0.000
7 Zn 0.000 0.500 0.874
8 Zn 0.500 0.000 0.126
9 Zn 0.500 0.500 0.500
10 Sn 0.000 0.000 0.500

## Properties
Theoretical density (Mg/m³): 4.89
Formation energy from the elements (eV/atom): -0.256
E (eV/atom): -2.92
Space group: P-4m2, No. 115

---

# 18
Ba2Sr2Al: relaxed, PBE.

Cell lengths 8.742, 8.742, 6.623 Å; angles 90.00, 90.00, 90.00 degrees
Fractional positions:
1 Ba 0.177 0.323 0.000
2 Ba 0.323 0.823 0.000
3 Ba 0.677 0.177 0.000
4 Ba 0.823 0.677 0.000
5 Sr 0.156 0.656 0.500
6 Sr 0.344 0.156 0.500
7 Sr 0.656 0.844 0.500
8 Sr 0.844 0.344 0.500
9 Al 0.000 0.000 0.500
10 Al 0.500 0.500 0.500

## Properties
Theoretical density (Mg/m³): 3.13
Formation energy from the elements (eV/atom): 0.150
E (eV/atom): -2.04
Space group: P4/mbm, No. 127

---

# 19
BaSr2Al: relaxed, PBE.

Cell lengths 13.276, 13.276, 13.276 Å; angles 157.14, 157.14, 32.55 degrees
Fractional positions:
1 Ba 0.000 0.000 0.000
2 Ba 0.750 0.250 0.500
3 Sr 0.151 0.625 0.026
4 Sr 0.375 0.401 0.526
5 Sr 0.599 0.125 0.974
6 Sr 0.875 0.849 0.474
7 Al 0.250 0.750 0.500
8 Al 0.500 0.500 0.000

## Properties
Theoretical density (Mg/m³): 3.20
Formation energy from the elements (eV/atom): 0.277
E (eV/atom): -1.98
Space group: I-42d, No. 122

---

# 20
BaSr2Al: relaxed, PBE.

Cell lengths 5.423, 5.423, 5.583 Å; angles 90.00, 90.00, 90.00 degrees
Fractional positions:
1 Ba 0.000 0.000 0.000
2 Sr 0.000 0.500 0.500
3 Sr 0.500 0.000 0.500
4 Al 0.500 0.500 0.000

## Properties
Theoretical density (Mg/m³): 3.43
Formation energy from the elements (eV/atom): 0.068
E (eV/atom): -2.19
Space group: P4/mmm, No. 123

---

# 21
BaSrAl4: relaxed, PBE.

Cell lengths 5.947, 5.947, 5.947 Å; angles 60.00, 60.00, 60.00 degrees
Fractional positions:
1 Ba 0.000 0.000 0.000
2 Sr 0.750 0.750 0.750
3 Al 0.375 0.375 0.375
4 Al 0.375 0.375 0.875
5 Al 0.375 0.875 0.375
6 Al 0.875 0.375 0.375

## Properties
Theoretical density (Mg/m³): 3.72
Relative energy among the computed polymorphs (eV per atom): 0.032
Formation energy from the elements (eV/atom): -0.210
E (eV/atom): -3.31
Space group: F-43m, No. 216

---

# 22
BaSrAl: relaxed, PBE.

Cell lengths 5.766, 5.766, 5.766 Å; angles 60.00, 60.00, 60.00 degrees
Fractional positions:
1 Ba 0.000 0.000 0.000
2 Sr 0.500 0.500 0.500
3 Al 0.250 0.250 0.250

## Properties
Theoretical density (Mg/m³): 3.09
Relative energy among the computed polymorphs (eV per atom): 0.096
Formation energy from the elements (eV/atom): 0.018
E (eV/atom): -2.43
Space group: F-43m, No. 216

---

# 23
BaSr2Al2: relaxed, PBE.

Cell lengths 8.682, 8.682, 5.045 Å; angles 90.00, 90.00, 90.00 degrees
Fractional positions:
1 Ba 0.000 0.000 0.000
2 Ba 0.500 0.500 0.000
3 Sr 0.169 0.331 0.500
4 Sr 0.331 0.831 0.500
5 Sr 0.669 0.169 0.500
6 Sr 0.831 0.669 0.500
7 Al 0.107 0.607 0.000
8 Al 0.393 0.107 0.000
9 Al 0.607 0.893 0.000
10 Al 0.893 0.393 0.000

## Properties
Theoretical density (Mg/m³): 3.20
Relative energy among the computed polymorphs (eV per atom): 0.044
Formation energy from the elements (eV/atom): -0.079
E (eV/atom): -2.63
Space group: P4/mbm, No. 127

---

# 24
BaSrAl: relaxed, PBE.

Cell lengths 5.725, 5.725, 4.300 Å; angles 90.00, 90.00, 120.00 degrees
Fractional positions:
1 Ba 0.000 0.000 0.000
2 Sr 0.667 0.333 0.457
3 Al 0.333 0.667 0.640

## Properties
Theoretical density (Mg/m³): 3.43
Relative energy among the computed polymorphs (eV per atom): 0.159
Formation energy from the elements (eV/atom): 0.082
E (eV/atom): -2.37
Space group: P3m1, No. 156